A relaxed ScBi2TeO8 crystal. Source: the Alexandria database, functional PBE.

Lattice parameters (Å, degrees): 5.084 5.082 6.720 90.00 90.00 90.70
Positions (direct):
O (0.296, 0.295, 0.500)
O (0.729, 0.730, 0.000)
O (0.704, 0.705, 0.500)
O (0.825, 0.176, 0.229)
O (0.175, 0.824, 0.229)
O (0.175, 0.824, 0.771)
O (0.271, 0.270, 0.000)
O (0.825, 0.176, 0.771)
Sc (0.000, 0.000, 0.500)
Te (0.000, 0.000, 0.000)
Bi (0.500, 0.500, 0.749)
Bi (0.500, 0.500, 0.251)

Results
As for the crystal system: orthorhombic. The value obtained for the calculated total energy is -6.270 eV per atom. The value obtained for the volume is 173.6 Å³/f.u. The formation energy (no corrections) comes out at -1.53 eV per atom. For the spin magnetization, the calculation gives 0.00 μB/atom.